Entry from Alexandria via LeMat-Bulk: a geometry-optimized LaInTc structure (PBE).

Results
The value obtained for the energy above the most stable polymorph in this dataset is 295.5 meV per atom. As for the space group: I4mm (107). As for the formation energy: 0.10 eV/atom.

Unit cell a=6.478 b=6.478 c=3.450 alpha=74.56 beta=74.56 gamma=30.89
Atoms (fractional coordinates):
La: 0.310 0.310 0.690
Tc: 0.655 0.655 0.345
In: 0.035 0.035 0.965